Record 1
Below is a relaxed Ac8Co3PtCl4 crystal, with properties calculated at the PBE-GGA level.

Formation energy without anion corrections = -1.00 eV per atom
SG = C2/m (12)

a b c (Å): 8.5383 9.3526 8.5381
angles (deg): 117.20 120.00 90.00
With the nearest neighbours (Å) after each atom.
Atoms (fractional coordinates):
1 Ac 0.2390 0.7002 0.9617  2 Co 2.90, 1 Pt 3.00
2 Ac 0.2389 0.7001 0.4778  2 Co 2.90, 1 Pt 3.00
3 Ac 0.2668 0.3008 0.5336  3 Co 2.93
4 Ac 0.7228 0.7002 0.9617  2 Co 2.90, 1 Pt 3.00
5 Ac 0.2772 0.2998 0.0383  2 Co 2.90, 1 Pt 3.00
6 Ac 0.7332 0.6992 0.4664  3 Co 2.93
7 Ac 0.7611 0.2999 0.5222  2 Co 2.90, 1 Pt 3.00
8 Ac 0.7610 0.2998 0.0383  2 Co 2.90, 1 Pt 3.00
9 Co 0.5000 0.5000 0.0000  6 Ac 2.90-2.93
10 Co 0.5000 0.5000 0.5000  6 Ac 2.90-2.93
11 Co 0.0000 0.5000 0.5000  6 Ac 2.90-2.93
12 Pt 0.0000 0.5000 0.0000  6 Ac 3.00
13 Cl 0.5000 0.0000 0.0000  6 Ac 3.37
14 Cl 0.5000 0.0000 0.5000  6 Ac 3.43-3.46
15 Cl 0.0000 0.0000 0.0000  6 Ac 3.43-3.46
16 Cl 0.0000 0.0000 0.5000  6 Ac 3.43-3.46

***

Record 2
Below is a relaxed K2BaSrCl crystal, with properties calculated at the PBE-GGA level.

Formation energy without anion corrections = -0.62 eV per atom
SG = P4/mmm (123)

a b c (Å): 6.4925 6.4925 6.3995
angles (deg): 90.00 90.00 90.00
With the nearest neighbours (Å) after each atom.
Atoms (fractional coordinates):
1 Sr 0.5000 0.5000 0.5000  8 K 4.56, 4 Ba 4.59
2 K 0.0000 0.5000 0.0000  2 Cl 3.25
3 K 0.5000 0.0000 0.0000  2 Cl 3.25
4 Ba 0.0000 0.0000 0.5000  2 Cl 3.20
5 Cl 0.0000 0.0000 0.0000  2 Ba 3.20, 4 K 3.25

***

Record 3
Below is a relaxed CdSn2Se crystal, with properties calculated at the PBE-GGA level.

Formation energy without anion corrections = 0.02 eV per atom
SG = R-3m (166)

a b c (Å): 3.6111 3.6111 10.3485
angles (deg): 79.95 79.95 60.00
With the nearest neighbours (Å) after each atom.
Atoms (fractional coordinates):
1 Sn 0.0998 0.0998 0.7006  3 Se 2.91, 1 Cd 3.04
2 Sn 0.9002 0.9002 0.2994  3 Se 2.91, 1 Cd 3.04
3 Se 0.5000 0.5000 0.5000  6 Sn 2.91
4 Cd 0.0000 0.0000 0.0000  2 Sn 3.04

***

Record 4
Below is a relaxed Ag2RhI crystal, with properties calculated at the PBE-GGA level.

Formation energy without anion corrections = 0.48 eV per atom
SG = I-42d (122)

a b c (Å): 7.9815 7.9815 6.2524
angles (deg): 50.34 50.34 90.00
With the nearest neighbours (Å) after each atom.
Atoms (fractional coordinates):
1 I 0.0000 0.0000 0.0000  2 Rh 2.69
2 I 0.7500 0.2500 0.5000  2 Rh 2.69
3 Rh 0.5000 0.5000 0.0000  2 I 2.69, 4 Ag 2.77
4 Rh 0.2500 0.7500 0.5000  2 I 2.69, 4 Ag 2.77
5 Ag 0.6013 0.1250 0.2500  2 Ag 2.72, 2 Rh 2.77, 2 I 3.03
6 Ag 0.1487 0.6250 0.2500  2 Ag 2.72, 2 Rh 2.77, 2 I 3.03
7 Ag 0.3750 0.3987 0.7500  2 Ag 2.72, 2 Rh 2.77, 2 I 3.03
8 Ag 0.8750 0.8513 0.7500  2 Ag 2.72, 2 Rh 2.77, 2 I 3.03

***

Record 5
Below is a relaxed NaInFe2Mo crystal, with properties calculated at the PBE-GGA level.

SG = P4/mmm (123)
Energy of formation from the pure elements = 1.855 eV/atom

a b c (Å): 4.4354 4.8811 4.4354
angles (deg): 90.00 90.00 90.00
With the nearest neighbours (Å) after each atom.
Atoms (fractional coordinates):
1 Na 0.0000 0.0000 0.0000  4 Fe 2.22, 2 Mo 2.44
2 Mo 0.0000 0.5000 0.0000  2 Na 2.44
3 Fe 0.0000 0.0000 0.5000  2 Na 2.22
4 Fe 0.5000 0.0000 0.0000  2 Na 2.22
5 In 0.5000 0.5000 0.5000  4 Mo 3.14, 8 Fe 3.30